1.
VASP calculation (PBE) on an optimized crystal structure of GdUPb.

Cell: 7.420 7.420 7.420 Å, 90.00 90.00 90.00°
Fractional positions:
Gd1 0.000 0.000 0.000
Gd2 0.000 0.500 0.500
Gd3 0.500 0.000 0.500
Gd4 0.500 0.500 0.000
U1 0.000 0.000 0.500
U2 0.000 0.500 0.000
U3 0.500 0.000 0.000
U4 0.500 0.500 0.500
Pb1 0.250 0.250 0.250
Pb2 0.250 0.750 0.750
Pb3 0.750 0.250 0.750
Pb4 0.750 0.750 0.250

total moment: 17.1 μB per cell
volume: 408.5 Å³/cell
energy relative to the lowest polymorph listed for this composition: 0.0000 eV/atom



2.
VASP calculation (PBE) on an optimized crystal structure of GdYPb.

Cell: 7.345 7.345 7.345 Å, 90.00 90.00 90.00°
Fractional positions:
Gd1 0.000 0.000 0.000
Gd2 0.000 0.500 0.500
Gd3 0.500 0.000 0.500
Gd4 0.500 0.500 0.000
Y1 0.000 0.000 0.500
Y2 0.000 0.500 0.000
Y3 0.500 0.000 0.000
Y4 0.500 0.500 0.500
Pb1 0.250 0.250 0.250
Pb2 0.250 0.750 0.750
Pb3 0.750 0.250 0.750
Pb4 0.750 0.750 0.250

total energy: -0.38064 Ry/atom
total moment: 0.9 μB per cell
volume: 396.2 Å³/cell



3.
VASP calculation (PBE) on an optimized crystal structure of GdZrPb.

Cell: 7.097 7.097 7.097 Å, 90.00 90.00 90.00°
Fractional positions:
Gd1 0.000 0.000 0.000
Gd2 0.000 0.500 0.500
Gd3 0.500 0.000 0.500
Gd4 0.500 0.500 0.000
Zr1 0.000 0.000 0.500
Zr2 0.000 0.500 0.000
Zr3 0.500 0.000 0.000
Zr4 0.500 0.500 0.500
Pb1 0.250 0.250 0.250
Pb2 0.250 0.750 0.750
Pb3 0.750 0.250 0.750
Pb4 0.750 0.750 0.250

total energy: -0.40947 Ry/atom
total moment: 0.1 μB per cell
volume: 357.5 Å³/cell



4.
VASP calculation (PBE) on an optimized crystal structure of Gd3Pd5.

Cell: 5.845 5.845 9.715 Å, 90.00 90.00 75.71°
Fractional positions:
Gd1 0.121 0.879 0.750
Gd2 0.297 0.297 0.000
Gd3 0.297 0.297 0.500
Gd4 0.703 0.703 0.000
Gd5 0.703 0.703 0.500
Gd6 0.879 0.121 0.250
Pd1 0.007 0.440 0.750
Pd2 0.187 0.813 0.048
Pd3 0.187 0.813 0.452
Pd4 0.440 0.007 0.250
Pd5 0.478 0.522 0.250
Pd6 0.522 0.478 0.750
Pd7 0.560 0.993 0.750
Pd8 0.813 0.187 0.548
Pd9 0.813 0.187 0.952
Pd10 0.993 0.560 0.250

total moment: 0.0 μB per cell
volume: 321.6 Å³/cell
ΔH_f (0 K): -909.9 meV/atom



5.
VASP calculation (PBE) on an optimized crystal structure of Gd7Pd3.

Cell: 9.952 9.952 6.296 Å, 90.00 90.00 120.00°
Fractional positions:
Gd1 0.077 0.538 0.000
Gd2 0.125 0.251 0.705
Gd3 0.125 0.875 0.705
Gd4 0.251 0.125 0.205
Gd5 0.333 0.667 0.508
Gd6 0.462 0.538 0.000
Gd7 0.462 0.923 0.000
Gd8 0.538 0.077 0.500
Gd9 0.538 0.462 0.500
Gd10 0.667 0.333 0.008
Gd11 0.749 0.875 0.705
Gd12 0.875 0.125 0.205
Gd13 0.875 0.749 0.205
Gd14 0.923 0.462 0.500
Pd1 0.190 0.380 0.262
Pd2 0.190 0.810 0.262
Pd3 0.380 0.190 0.762
Pd4 0.620 0.810 0.262
Pd5 0.810 0.190 0.762
Pd6 0.810 0.620 0.762

total moment: 1.8 μB per cell
volume: 540.0 Å³/cell
ΔH_f (0 K): -541.9 meV/atom



6.
VASP calculation (PBE) on an optimized crystal structure of Pr2GdSn3PdPt2.

Cell: 4.127 7.647 7.647 Å, 119.85 90.00 90.00°
Fractional positions:
Pr1 0.000 0.206 0.794
Pr2 0.000 0.794 0.206
Gd1 0.000 0.384 0.384
Sn1 0.500 0.048 0.048
Sn2 0.500 0.540 0.791
Sn3 0.500 0.791 0.540
Pd1 0.000 0.790 0.790
Pt1 0.500 0.133 0.458
Pt2 0.500 0.458 0.133

total energy: -0.42980 Ry/atom
total moment: 0.0 μB per cell
volume: 209.3 Å³/cell



7.
VASP calculation (PBE) on an optimized crystal structure of PrGd2Sn3Pd3.

Cell: 4.073 7.615 7.615 Å, 120.12 90.00 90.00°
Fractional positions:
Pr1 0.000 0.000 0.000
Gd1 0.000 0.182 0.590
Gd2 0.000 0.590 0.182
Sn1 0.500 0.336 0.336
Sn2 0.500 0.587 0.843
Sn3 0.500 0.843 0.587
Pd1 0.000 0.585 0.585
Pd2 0.500 0.260 0.920
Pd3 0.500 0.920 0.260

total energy: -0.40805 Ry/atom
total moment: 0.0 μB per cell
volume: 204.3 Å³/cell



8.
VASP calculation (PBE) on an optimized crystal structure of Gd2PdPt.

Cell: 4.534 5.621 7.110 Å, 90.00 90.00 90.00°
Fractional positions:
Gd1 0.000 0.104 0.000
Gd2 0.000 0.896 0.500
Gd3 0.500 0.389 0.365
Gd4 0.500 0.611 0.865
Pd1 0.000 0.408 0.640
Pd2 0.000 0.592 0.140
Pt1 0.500 0.098 0.727
Pt2 0.500 0.902 0.227

total moment: 0.0 μB per cell
volume: 181.2 Å³/cell
ΔH_f (0 K): -1086.7 meV/atom



9.
VASP calculation (PBE) on an optimized crystal structure of Sm2GdSn3PdPt2.

Cell: 4.089 7.581 7.581 Å, 119.90 90.00 90.00°
Fractional positions:
Sm1 0.000 0.206 0.794
Sm2 0.000 0.794 0.206
Gd1 0.000 0.384 0.384
Sn1 0.500 0.048 0.048
Sn2 0.500 0.539 0.794
Sn3 0.500 0.794 0.539
Pd1 0.000 0.792 0.792
Pt1 0.500 0.130 0.460
Pt2 0.500 0.460 0.130

total energy: -0.43051 Ry/atom
total moment: 0.0 μB per cell
volume: 203.7 Å³/cell



10.
VASP calculation (PBE) on an optimized crystal structure of SmGd2Sn3PdPt2.

Cell: 4.072 7.579 7.579 Å, 120.15 90.00 90.00°
Fractional positions:
Sm1 0.000 0.000 0.000
Gd1 0.000 0.179 0.589
Gd2 0.000 0.589 0.179
Sn1 0.500 0.334 0.334
Sn2 0.500 0.588 0.843
Sn3 0.500 0.843 0.588
Pd1 0.000 0.586 0.586
Pt1 0.500 0.259 0.921
Pt2 0.500 0.921 0.259

total energy: -0.43042 Ry/atom
total moment: 0.0 μB per cell
volume: 202.2 Å³/cell



11.
VASP calculation (PBE) on an optimized crystal structure of GdSnPdPt.

Cell: 4.590 4.590 9.085 Å, 90.00 90.00 120.00°
Fractional positions:
Gd1 0.333 0.667 0.254
Gd2 0.667 0.333 0.746
Sn1 0.000 0.000 0.000
Sn2 0.000 0.000 0.500
Pd1 0.333 0.667 0.916
Pd2 0.667 0.333 0.084
Pt1 0.333 0.667 0.592
Pt2 0.667 0.333 0.408

total moment: 0.0 μB per cell
volume: 165.8 Å³/cell
energy relative to the lowest polymorph listed for this composition: 0.0084 eV/atom



12.
VASP calculation (PBE) on an optimized crystal structure of GdSnPdPt.

Cell: 4.593 4.593 9.088 Å, 90.00 90.00 120.00°
Fractional positions:
Gd1 0.000 0.000 0.000
Gd2 0.333 0.667 0.500
Sn1 0.667 0.333 0.251
Sn2 0.667 0.333 0.749
Pd1 0.333 0.667 0.162
Pd2 0.333 0.667 0.838
Pt1 0.000 0.000 0.335
Pt2 0.000 0.000 0.665

total moment: 0.0 μB per cell
volume: 166.1 Å³/cell
energy relative to the lowest polymorph listed for this composition: 0.0083 eV/atom